[1]
! Cs2NbAuS6 | OQMD via LeMat-Bulk | PBE | optimized geometry; values from VASP
&SYSTEM
  ibrav = 0, nat = 10, ntyp = 4
/
ATOMIC_SPECIES
Au 196.97 Au.upf
S 32.06 S.upf
Cs 132.91 Cs.upf
Nb 92.91 Nb.upf
ATOMIC_POSITIONS angstrom
Au -1.2109 0.0835 -4.8758
S -4.1715 -1.4939 -9.3455
S -0.5896 0.0406 -2.3739
S -1.8323 0.1263 -7.3777
S -3.0550 -1.6669 -4.4478
S -2.9024 1.9760 -4.4233
S 0.4805 -1.8091 -5.3283
Cs -5.2614 0.2637 -6.4557
Cs -1.9651 -3.4246 -7.3375
Nb 0.0000 0.0000 0.0000
CELL_PARAMETERS angstrom
-4.5072 3.7717 -3.9940
2.0854 -3.6048 -5.7576
-4.8046 -3.3277 -4.0417
! Total energy, Ry/atom: -0.31940
! Space-group type: Fm-3m, No. 225

[2]
! SrCd2H16Br6O8 | OQMD via LeMat-Bulk | PBE | optimized geometry; values from VASP
&SYSTEM
  ibrav = 0, nat = 66, ntyp = 5
/
ATOMIC_SPECIES
H 1.01 H.upf
Cd 112.41 Cd.upf
Br 79.90 Br.upf
O 16.00 O.upf
Sr 87.62 Sr.upf
ATOMIC_POSITIONS angstrom
H 2.3152 10.4446 3.2411
H 2.3703 11.9844 0.3822
H 3.7415 23.1303 5.2193
H 0.6817 16.7345 4.6500
H 1.9620 2.4346 2.3172
H 2.4317 4.6314 2.8503
H 1.6061 20.7400 2.8503
H 2.0758 22.9368 2.3172
H 0.4128 8.0543 5.6101
H 1.8410 24.6094 5.1797
H 3.3346 2.8469 4.1406
H 0.3514 0.7013 8.0782
H 3.8599 13.4477 3.2806
H 3.9810 10.2511 6.1432
H 3.6865 24.6701 8.0782
H 1.9465 23.7283 0.9435
H 1.3157 9.8388 4.3198
H 1.6676 13.3870 0.3822
H 0.7033 22.5245 4.1406
H 1.3373 4.0488 3.8104
H 2.1969 0.7620 5.1797
H 0.0569 15.1203 6.1432
H 2.7222 15.5326 4.3198
H 2.7006 21.3226 3.8104
H 0.1780 11.9237 3.2806
H 3.3562 8.6369 4.6500
H 3.9654 14.3288 7.5169
H 0.0724 11.0426 7.5169
H 1.7226 14.9268 3.2411
H 2.0913 1.6431 0.9435
H 3.6250 17.3172 5.6101
H 0.2963 2.2411 5.2193
Cd 0.0771 7.7403 1.1968
Cd 1.9418 20.4260 7.2636
Cd 2.0960 4.9454 7.2636
Cd 3.9608 17.6311 1.1968
Br 0.0198 4.8659 0.7638
Br 4.0181 20.5055 0.7638
Br 3.9358 19.9628 5.4558
Br 0.1020 5.4086 5.4558
Br 1.9169 18.0943 3.0045
Br 1.8846 2.2220 7.0645
Br 3.9035 10.4637 1.3959
Br 1.9991 17.5516 7.6966
Br 0.1344 14.9077 1.3959
Br 2.0387 7.8198 7.6966
Br 2.1533 23.1494 7.0645
Br 2.1209 7.2771 3.0045
O 0.1016 8.8848 5.1900
O 2.0703 14.8044 4.1524
O 0.0121 14.2037 6.5439
O 0.0000 0.0000 0.2104
O 2.0310 23.8534 1.9165
O 0.0000 12.6857 3.8798
O 2.0189 12.6857 8.2500
O 0.0514 23.2527 4.3080
O 4.0258 11.1678 6.5439
O 3.9362 16.4866 5.1900
O 2.1206 3.8009 3.2704
O 1.9173 21.5705 3.2704
O 2.0189 0.0000 4.5806
O 1.9675 10.5670 4.1524
O 3.9865 2.1187 4.3080
O 2.0068 1.5180 1.9165
Sr 0.0000 0.0000 2.8023
Sr 2.0189 12.6857 5.6581
CELL_PARAMETERS angstrom
4.0378 0.0000 0.0000
0.0000 25.3714 0.0000
0.0000 0.0000 8.4604
! Total energy, Ry/atom: -0.31919
! Space-group type: P2_12_12, No. 18

[3]
! MgInTcW | OQMD via LeMat-Bulk | PBE | optimized geometry; values from VASP
&SYSTEM
  ibrav = 0, nat = 4, ntyp = 4
/
ATOMIC_SPECIES
Tc 98.00 Tc.upf
Mg 24.30 Mg.upf
In 114.82 In.upf
W 183.84 W.upf
ATOMIC_POSITIONS angstrom
Tc -0.6559 -1.5011 2.2601
Mg -1.9677 -4.5032 6.7803
In -1.3118 -3.0021 4.5202
W 0.0000 0.0000 0.0000
CELL_PARAMETERS angstrom
1.6628 -2.6189 3.3397
-1.8621 0.1529 4.1577
-2.4242 -3.5382 1.5430
! Energy above the lowest structure with this stoichiometry, meV per atom: 0
! Total energy, Ry/atom: -0.49044
! Space-group type: F-43m, No. 216

[4]
! CsHoTeSe | OQMD via LeMat-Bulk | PBE | optimized geometry; values from VASP
&SYSTEM
  ibrav = 0, nat = 8, ntyp = 4
/
ATOMIC_SPECIES
Ho 164.93 Ho.upf
Cs 132.91 Cs.upf
Se 78.96 Se.upf
Te 127.60 Te.upf
ATOMIC_POSITIONS angstrom
Ho 6.2585 -0.1569 5.9538
Ho 0.0000 0.0000 0.0000
Cs 10.7793 -1.3364 7.1201
Cs 3.3782 -2.6013 2.9675
Se 7.4299 -2.7029 6.8220
Se 6.7276 -1.2348 3.2656
Te 11.3392 -2.8009 10.5409
Te 2.8183 -1.1368 -0.4534
CELL_PARAMETERS angstrom
-1.3711 -3.9328 1.3377
3.0117 0.3089 -3.1577
12.5170 -0.3138 11.9076
! Energy above the lowest structure with this stoichiometry, meV per atom: 2
! Total energy, Ry/atom: -0.33450
! Space-group type: P-3m1, No. 164

[5]
! HoCo | OQMD via LeMat-Bulk | PBE | optimized geometry; values from VASP
&SYSTEM
  ibrav = 0, nat = 4, ntyp = 2
/
ATOMIC_SPECIES
Co 58.93 Co.upf
Ho 164.93 Ho.upf
ATOMIC_POSITIONS angstrom
Co -4.3769 2.5305 0.3983
Co -2.7402 0.3410 -2.1454
Ho -2.0427 1.1810 0.1859
Ho -5.0748 1.6908 -1.9329
CELL_PARAMETERS angstrom
1.9006 3.5798 -1.8584
-1.9969 -3.0496 -2.5677
-4.6688 2.6993 0.4249
! Total energy, Ry/atom: -0.38764
! Space-group type: P6_3/mmc, No. 194
! Formation enthalpy at 0 K, eV per formula unit: 1.13

[6]
! TmCuGe2 | OQMD via LeMat-Bulk | PBE | optimized geometry; values from VASP
&SYSTEM
  ibrav = 0, nat = 8, ntyp = 3
/
ATOMIC_SPECIES
Tm 168.93 Tm.upf
Ge 72.64 Ge.upf
Cu 63.55 Cu.upf
ATOMIC_POSITIONS angstrom
Tm 1.9879 1.7477 1.0654
Tm 1.9879 -1.7477 3.1963
Ge 1.9879 -7.9803 3.1963
Ge 1.9879 -4.3612 1.0654
Ge 1.9879 7.9803 1.0654
Ge 1.9879 4.3612 3.1963
Cu 1.9879 -5.6688 3.1963
Cu 1.9879 5.6688 1.0654
CELL_PARAMETERS angstrom
1.9878 -8.5963 0.0000
1.9878 8.5963 0.0000
0.0000 0.0000 4.2618
! Total energy, Ry/atom: -0.35367
! Space-group type: Cmcm, No. 63

[7]
! Na2ZnNi | OQMD via LeMat-Bulk | PBE | optimized geometry; values from VASP
&SYSTEM
  ibrav = 0, nat = 4, ntyp = 3
/
ATOMIC_SPECIES
Na 22.99 Na.upf
Zn 65.41 Zn.upf
Ni 58.69 Ni.upf
ATOMIC_POSITIONS angstrom
Na 0.0000 0.0000 0.0000
Na -4.8427 1.0643 6.9814
Zn -3.2285 0.7096 4.6542
Ni -1.6142 0.3548 2.3271
CELL_PARAMETERS angstrom
0.0664 0.6388 4.6166
-3.2157 2.6982 2.0259
-3.3076 -1.9178 2.6659
! Total energy, Ry/atom: -0.15437
! Space-group type: F-43m, No. 216

[8]
! ZrNbB2 | OQMD via LeMat-Bulk | PBE | optimized geometry; values from VASP
&SYSTEM
  ibrav = 0, nat = 4, ntyp = 3
/
ATOMIC_SPECIES
Nb 92.91 Nb.upf
B 10.81 B.upf
Zr 91.22 Zr.upf
ATOMIC_POSITIONS angstrom
Nb 4.4930 4.4930 4.4930
B 0.0000 0.0000 0.0000
B 1.4977 1.4977 1.4977
Zr 2.9954 2.9954 2.9954
CELL_PARAMETERS angstrom
0.0000 2.9954 2.9954
2.9954 0.0000 2.9954
2.9954 2.9954 0.0000
! Total energy, Ry/atom: -0.49742
! Space-group type: F-43m, No. 216